1.
KBa2P, relaxed, DFT GGA-PBE; total magnetization = 1.3 Bohr magnetons per cell; electronic total energy = -2.468 eV/atom; DFT formation energy = 0.12 eV/atom; symmetry = F-43m
1.0
-4.902 2.202 2.413
-3.860 -3.592 2.627
-0.608 0.108 5.859
Ba P K
2 1 1
direct
0.250 0.250 0.250
0.000 0.000 0.000
0.750 0.750 0.750
0.500 0.500 0.500



2.
KBaP, relaxed, DFT GGA-PBE; total magnetization = 0.0 Bohr magnetons per cell; electronic total energy = -3.495 eV/atom; DFT formation energy = -0.69 eV/atom; symmetry = Pnma
1.0
8.542 0.000 0.000
0.000 5.373 0.000
0.000 0.000 9.411
Ba P K
4 4 4
direct
0.343 0.750 0.911
0.657 0.250 0.089
0.157 0.250 0.411
0.843 0.750 0.589
0.220 0.750 0.592
0.720 0.750 0.908
0.780 0.250 0.408
0.280 0.250 0.092
0.984 0.750 0.171
0.516 0.250 0.671
0.484 0.750 0.329
0.016 0.250 0.829



3.
K2BaP, relaxed, DFT GGA-PBE; total magnetization = 0.0 Bohr magnetons per cell; electronic total energy = -2.469 eV/atom; DFT formation energy = -0.09 eV/atom; symmetry = F-43m
1.0
-5.048 0.587 2.963
-1.967 -4.408 3.362
0.071 0.513 5.860
K Ba P
2 1 1
direct
0.250 0.250 0.250
0.000 0.000 0.000
0.500 0.500 0.500
0.750 0.750 0.750



Which of these has the lowest electronic total energy? KBaP



What is the formula in the first record? KBa2P